Record 1
Entry from Alexandria: a geometry-optimized KPm2SmTe4 structure (PBE-GGA).

```
KPm2SmTe4
1.0
-1.563 -4.154 0.617
5.682 -1.346 5.340
-2.712 2.080 7.141
Te Pm K Sm
4 2 1 1
Direct
0.500 0.238 0.763
0.000 0.753 0.756
0.000 0.247 0.244
0.500 0.762 0.237
0.000 0.000 0.000
0.500 0.000 0.500
0.000 0.500 0.500
0.500 0.500 0.000
```

Calculated values
The uncorrected formation energy is -1373 meV/atom. The value obtained for the spin magnetization is 0.0 μB per cell.

***

Record 2
Entry from Alexandria: a geometry-optimized Ca3MnTl structure (PBE-GGA).

```
Ca3MnTl
1.0
-2.814 3.640 -3.745
-1.825 -4.671 -3.170
-4.894 -0.352 3.336
Ca Tl Mn
3 1 1
Direct
0.000 0.000 0.500
0.000 0.500 0.000
0.500 0.000 0.000
0.000 0.000 0.000
0.500 0.500 0.500
```

Calculated values
For the offset from the most stable computed form, the calculation gives 128.9 meV per atom. For the energy relative to the elements, the calculation gives 231 kJ/mol of formula units. The value obtained for the spin magnetization is 4.1 μB per cell.

***

Record 3
Entry from Alexandria: a geometry-optimized Ac5Cu2Sn structure (PBE-GGA).

```
Ac5Cu2Sn
1.0
7.848 0.000 -3.705
-1.749 7.651 -3.705
-0.368 -0.461 9.386
Cu Ac Sn
4 10 2
Direct
0.128 0.372 0.000
0.872 0.628 0.000
0.372 0.872 0.000
0.628 0.128 0.000
0.985 0.485 0.284
0.485 0.299 0.284
0.500 0.500 0.000
0.000 0.000 0.000
0.515 0.701 0.716
0.299 0.799 0.284
0.201 0.015 0.716
0.701 0.201 0.716
0.799 0.985 0.284
0.015 0.515 0.716
0.750 0.750 0.500
0.250 0.250 0.500
```

Calculated values
For the energy relative to the elements, the calculation gives -188 kJ/mol of formula units. The value obtained for the spin magnetization is 0.0 μB per cell.

***

For each record above, in turn, the calculated electronic total energy values are -4.858 -3.029 -4.335 eV/atom.
For each record above, in turn, the calculated calculated volume values are 266.1 208.8 536.7 Å³/cell.
For each record above, in turn, the calculated theoretical density values are 6.18 3.02 8.54 g cm⁻³.